Entry 1:
! TiICl2 PBE optimized geometry; values from VASP
&SYSTEM
  ibrav = 0, nat = 4, ntyp = 3
/
ATOMIC_SPECIES
Ti 47.87 Ti.upf
I 126.90 I.upf
Cl 35.45 Cl.upf
ATOMIC_POSITIONS angstrom
Ti 0.000 0.000 0.000
I 0.000 0.000 16.598
Cl 0.000 0.000 12.612
Cl 0.000 0.000 20.583
CELL_PARAMETERS angstrom
1.676 0.968 11.065
-1.676 0.968 11.065
0.000 -1.935 11.065
! Uncorrected formation energy: -978 meV per atom
! Offset from the most stable computed form: 224 meV/atom

Entry 2:
! ScMn3V PBE optimized geometry; values from VASP
&SYSTEM
  ibrav = 0, nat = 5, ntyp = 3
/
ATOMIC_SPECIES
Sc 44.96 Sc.upf
Mn 54.94 Mn.upf
V 50.94 V.upf
ATOMIC_POSITIONS angstrom
Sc 0.000 0.000 0.000
Mn 0.000 2.167 2.167
Mn 2.167 0.000 2.167
Mn 2.167 2.167 0.000
V 2.167 2.167 2.167
CELL_PARAMETERS angstrom
4.335 0.000 0.000
0.000 4.335 0.000
0.000 0.000 4.335
! Energy of formation: 0.596 eV/atom
! Offset from the most stable computed form: 0 meV/atom

Entry 3:
! ErTm3Cu PBE optimized geometry; values from VASP
&SYSTEM
  ibrav = 0, nat = 5, ntyp = 3
/
ATOMIC_SPECIES
Er 167.26 Er.upf
Tm 168.93 Tm.upf
Cu 63.55 Cu.upf
ATOMIC_POSITIONS angstrom
Er 0.000 0.000 0.000
Tm 0.000 2.645 2.645
Tm 2.645 0.000 2.645
Tm 2.645 2.645 0.000
Cu 2.645 2.645 2.645
CELL_PARAMETERS angstrom
5.291 0.000 0.000
0.000 5.291 0.000
0.000 0.000 5.291
! Energy of formation: 0.126 eV/atom

Entry 4:
! Cs2Te2As PBE optimized geometry; values from VASP
&SYSTEM
  ibrav = 0, nat = 20, ntyp = 3
/
ATOMIC_SPECIES
Cs 132.91 Cs.upf
Te 127.60 Te.upf
As 74.92 As.upf
ATOMIC_POSITIONS angstrom
Cs 0.745 2.295 0.286
Cs -0.303 2.712 4.830
Cs 2.015 6.982 9.064
Cs 3.063 8.036 4.520
Cs 6.005 1.976 4.567
Cs 7.053 3.030 0.024
Cs 9.371 7.301 4.257
Cs 8.323 7.718 8.801
Te 1.171 5.579 2.327
Te 0.123 9.439 6.870
Te 4.157 0.598 1.403
Te 3.108 4.408 5.947
Te 5.960 5.604 3.140
Te 4.911 9.414 7.684
Te 8.945 0.573 2.217
Te 7.897 4.433 6.760
As 1.940 1.011 7.976
As 2.989 3.995 3.433
As 6.079 6.017 5.654
As 7.128 9.002 1.111
CELL_PARAMETERS angstrom
11.165 0.000 0.000
0.000 10.012 0.000
-2.097 0.000 9.087
! Uncorrected formation energy: -648 meV per atom
! Offset from the most stable computed form: 0 meV/atom

Entry 5:
! Ni5H11Pd PBE optimized geometry; values from VASP
&SYSTEM
  ibrav = 0, nat = 17, ntyp = 3
/
ATOMIC_SPECIES
Ni 58.69 Ni.upf
H 1.01 H.upf
Pd 106.42 Pd.upf
ATOMIC_POSITIONS angstrom
Ni 0.000 0.000 0.000
Ni 1.155 1.305 1.817
Ni 1.155 -1.305 1.817
Ni 2.881 1.305 3.577
Ni 2.881 -1.305 3.577
H 0.052 0.000 1.666
H 1.185 1.148 0.121
H 1.248 1.693 3.460
H 1.185 -1.148 0.121
H 2.788 1.693 1.934
H 2.018 0.000 2.697
H 1.248 -1.693 3.460
H 2.851 1.148 5.273
H 2.788 -1.693 1.934
H 2.851 -1.148 5.273
H 3.984 0.000 3.728
Pd 2.634 0.000 0.000
CELL_PARAMETERS angstrom
2.634 -4.317 0.000
2.634 4.317 0.000
-1.232 0.000 5.394
! Uncorrected energy: -4.105 eV/atom

Entry 6:
! Nd2ThCd6 PBE optimized geometry; values from VASP
&SYSTEM
  ibrav = 0, nat = 9, ntyp = 3
/
ATOMIC_SPECIES
Nd 144.24 Nd.upf
Th 232.04 Th.upf
Cd 112.41 Cd.upf
ATOMIC_POSITIONS angstrom
Nd 0.000 5.110 0.000
Nd 4.426 2.555 0.000
Th 0.000 0.000 0.000
Cd -1.479 2.563 1.708
Cd -2.946 5.103 1.708
Cd 2.959 0.000 1.708
Cd 1.479 2.563 1.708
Cd 5.893 0.000 1.708
Cd 2.946 5.103 1.708
CELL_PARAMETERS angstrom
8.852 0.000 0.000
-4.426 7.666 0.000
0.000 0.000 3.415
! Energy of formation: -0.294 eV/atom

Entry 7:
! MnMo2Au PBE optimized geometry; values from VASP
&SYSTEM
  ibrav = 0, nat = 4, ntyp = 3
/
ATOMIC_SPECIES
Mn 54.94 Mn.upf
Mo 95.94 Mo.upf
Au 196.97 Au.upf
ATOMIC_POSITIONS angstrom
Mn 0.000 0.000 0.000
Mo 1.565 1.565 1.565
Mo 4.696 4.696 4.696
Au 3.130 3.130 3.130
CELL_PARAMETERS angstrom
0.000 3.130 3.130
3.130 0.000 3.130
3.130 3.130 0.000
! Energy of formation: 0.580 eV/atom
! Offset from the most stable computed form: 414 meV/atom

Entry 8:
! AcCoP2Rh2 PBE optimized geometry; values from VASP
&SYSTEM
  ibrav = 0, nat = 6, ntyp = 4
/
ATOMIC_SPECIES
Ac 227.00 Ac.upf
Co 58.93 Co.upf
P 30.97 P.upf
Rh 102.91 Rh.upf
ATOMIC_POSITIONS angstrom
Ac 0.000 0.000 0.000
Co 0.000 0.000 2.796
P 0.000 2.168 2.796
P 2.168 0.000 2.796
Rh 2.168 2.168 1.435
Rh 2.168 2.168 4.157
CELL_PARAMETERS angstrom
4.337 0.000 0.000
0.000 4.337 0.000
0.000 0.000 5.592
! Energy of formation: -0.468 eV/atom

Entry 9:
! SbMoCl2 PBE optimized geometry; values from VASP
&SYSTEM
  ibrav = 0, nat = 4, ntyp = 3
/
ATOMIC_SPECIES
Sb 121.76 Sb.upf
Mo 95.94 Mo.upf
Cl 35.45 Cl.upf
ATOMIC_POSITIONS angstrom
Sb 0.000 0.000 0.000
Mo 5.169 5.169 5.169
Cl 1.723 1.723 1.723
Cl 3.446 3.446 3.446
CELL_PARAMETERS angstrom
0.000 3.446 3.446
3.446 0.000 3.446
3.446 3.446 0.000
! Uncorrected formation energy: 460 meV per atom
! Offset from the most stable computed form: 764 meV/atom

Entry 10:
! Pr3In2Cu4 PBE optimized geometry; values from VASP
&SYSTEM
  ibrav = 0, nat = 9, ntyp = 3
/
ATOMIC_SPECIES
Pr 140.91 Pr.upf
In 114.82 In.upf
Cu 63.55 Cu.upf
ATOMIC_POSITIONS angstrom
Pr 0.000 0.000 0.000
Pr 3.371 0.000 5.561
Pr 6.195 0.000 3.394
In 3.154 0.000 2.033
In 6.412 0.000 6.922
Cu 0.303 0.000 5.572
Cu 2.246 0.000 8.334
Cu 7.320 0.000 0.621
Cu 9.263 0.000 3.383
CELL_PARAMETERS angstrom
5.139 -2.213 0.000
5.139 2.213 0.000
-0.713 0.000 8.955
! Energy of formation: -0.274 eV/atom

Entry 11:
! Hg3Br2 PBE optimized geometry; values from VASP
&SYSTEM
  ibrav = 0, nat = 10, ntyp = 2
/
ATOMIC_SPECIES
Hg 200.59 Hg.upf
Br 79.90 Br.upf
ATOMIC_POSITIONS angstrom
Hg 0.000 0.000 0.000
Hg 8.461 2.584 2.070
Hg 3.980 4.587 1.265
Hg 11.439 7.171 3.335
Hg 7.459 15.765 2.070
Hg 4.481 11.178 3.335
Br 10.308 9.331 2.280
Br 14.288 13.605 3.545
Br 5.612 9.018 2.280
Br 9.592 13.919 3.545
CELL_PARAMETERS angstrom
0.000 9.175 2.530
7.960 0.000 2.530
7.960 9.175 0.000
! Uncorrected formation energy: -290 meV per atom
! Offset from the most stable computed form: 0 meV/atom

Entry 12:
! GeH2Pd8 PBE optimized geometry; values from VASP
&SYSTEM
  ibrav = 0, nat = 11, ntyp = 3
/
ATOMIC_SPECIES
Ge 72.64 Ge.upf
H 1.01 H.upf
Pd 106.42 Pd.upf
ATOMIC_POSITIONS angstrom
Ge 0.000 0.000 0.000
H 3.817 0.000 1.644
H 7.476 0.000 3.233
Pd 0.419 0.000 2.458
Pd 2.542 0.000 0.318
Pd 3.030 0.000 3.212
Pd 5.513 0.000 1.016
Pd 5.780 0.000 3.861
Pd 8.263 0.000 1.665
Pd 8.750 0.000 4.559
Pd 10.873 0.000 2.419
CELL_PARAMETERS angstrom
6.566 -2.256 0.000
6.566 2.256 0.000
-1.839 0.000 4.877
! Uncorrected energy: -4.973 eV/atom

Entry 13:
! P2RuSeN PBE optimized geometry; values from VASP
&SYSTEM
  ibrav = 0, nat = 5, ntyp = 4
/
ATOMIC_SPECIES
P 30.97 P.upf
Ru 101.07 Ru.upf
Se 78.96 Se.upf
N 14.01 N.upf
ATOMIC_POSITIONS angstrom
P 0.000 0.000 0.000
P 1.552 2.101 1.830
Ru 3.302 2.310 0.404
Se 4.088 1.227 4.674
N 1.779 1.735 3.356
CELL_PARAMETERS angstrom
3.495 0.000 0.000
1.555 3.966 0.000
1.487 0.080 6.566
! Uncorrected formation energy: 161 meV per atom
! Offset from the most stable computed form: 226 meV/atom

Entry 14:
! Tl12Hg5P3 PBE optimized geometry; values from VASP
&SYSTEM
  ibrav = 0, nat = 80, ntyp = 3
/
ATOMIC_SPECIES
Tl 204.38 Tl.upf
Hg 200.59 Hg.upf
P 30.97 P.upf
ATOMIC_POSITIONS angstrom
Tl 8.544 -1.525 2.648
Tl 13.570 -1.775 2.898
Tl 2.648 -0.302 1.525
Tl 10.620 5.948 -4.725
Tl 11.494 0.302 1.525
Tl 10.620 -2.898 4.725
Tl 1.525 2.648 -0.302
Tl 11.743 4.121 -1.775
Tl 5.948 4.725 -1.775
Tl 7.320 2.648 0.302
Tl -0.302 1.525 2.648
Tl 4.725 -1.775 5.948
Tl 8.544 7.320 -2.648
Tl 4.725 1.775 2.898
Tl 7.320 -2.648 8.544
Tl 5.948 -4.725 10.620
Tl 2.898 4.725 1.775
Tl 10.370 6.197 0.302
Tl 2.648 8.544 -1.525
Tl 10.620 2.898 4.121
Tl 1.775 2.898 4.725
Tl 2.648 0.302 7.320
Tl 4.725 10.620 -2.898
Tl 8.544 1.525 6.197
Tl 0.302 7.320 2.648
Tl 4.121 -1.775 11.743
Tl 6.197 8.544 1.525
Tl 7.071 5.948 4.121
Tl -1.775 5.948 4.725
Tl 6.197 0.302 10.370
Tl -1.525 2.648 8.544
Tl 5.948 4.121 7.071
Tl 2.898 13.570 -1.775
Tl 1.525 11.494 0.302
Tl 4.121 7.071 5.948
Tl 0.302 1.525 11.494
Tl 4.121 10.620 2.898
Tl 9.147 7.320 6.197
Tl 1.525 6.197 8.544
Tl 2.898 4.121 10.620
Tl -2.898 4.725 10.620
Tl 7.320 6.197 9.147
Tl -1.775 11.743 4.121
Tl -2.648 8.544 7.320
Tl -1.775 2.898 13.570
Tl 6.197 9.147 7.320
Tl -4.725 10.620 5.948
Tl 0.302 10.370 6.197
Hg 0.000 0.000 0.000
Hg 4.423 4.423 -4.423
Hg 4.423 -4.423 4.423
Hg 8.845 0.000 0.000
Hg 13.268 2.211 0.000
Hg 8.845 -4.423 6.634
Hg 6.634 8.845 -4.423
Hg 6.634 0.000 4.423
Hg 4.423 6.634 0.000
Hg 8.845 4.423 2.211
Hg -4.423 4.423 4.423
Hg 0.000 8.845 0.000
Hg 0.000 0.000 8.845
Hg 4.423 4.423 4.423
Hg 0.000 4.423 6.634
Hg 4.423 2.211 8.845
Hg 2.211 8.845 4.423
Hg 2.211 0.000 13.268
Hg 0.000 13.268 2.211
Hg -4.423 6.634 8.845
P 4.423 2.211 0.000
P 8.845 4.423 -2.211
P 2.211 0.000 4.423
P 11.057 0.000 4.423
P 0.000 4.423 2.211
P 4.423 -2.211 8.845
P 4.423 11.057 0.000
P 8.845 4.423 6.634
P -2.211 8.845 4.423
P 6.634 8.845 4.423
P 0.000 4.423 11.057
P 4.423 6.634 8.845
CELL_PARAMETERS angstrom
-8.845 8.845 8.845
8.845 -8.845 8.845
8.845 8.845 -8.845
! Energy of formation: 0.190 eV/atom

Entry 15:
! PmThGaCo PBE optimized geometry; values from VASP
&SYSTEM
  ibrav = 0, nat = 4, ntyp = 4
/
ATOMIC_SPECIES
Pm 145.00 Pm.upf
Th 232.04 Th.upf
Ga 69.72 Ga.upf
Co 58.93 Co.upf
ATOMIC_POSITIONS angstrom
Pm 0.000 0.000 0.000
Th 3.594 3.594 3.594
Ga 1.797 1.797 1.797
Co 5.391 5.391 5.391
CELL_PARAMETERS angstrom
0.000 3.594 3.594
3.594 0.000 3.594
3.594 3.594 0.000
! Energy of formation: -0.180 eV/atom

Entry 16:
! NaSrNdGa PBE optimized geometry; values from VASP
&SYSTEM
  ibrav = 0, nat = 4, ntyp = 4
/
ATOMIC_SPECIES
Na 22.99 Na.upf
Sr 87.62 Sr.upf
Nd 144.24 Nd.upf
Ga 69.72 Ga.upf
ATOMIC_POSITIONS angstrom
Na 0.000 0.000 0.000
Sr 1.967 1.967 1.967
Nd 5.902 5.902 5.902
Ga 3.935 3.935 3.935
CELL_PARAMETERS angstrom
0.000 3.935 3.935
3.935 0.000 3.935
3.935 3.935 0.000
! Energy of formation: -0.095 eV/atom

Entry 17:
! AcNdPtO PBE optimized geometry; values from VASP
&SYSTEM
  ibrav = 0, nat = 8, ntyp = 4
/
ATOMIC_SPECIES
Ac 227.00 Ac.upf
Nd 144.24 Nd.upf
Pt 195.08 Pt.upf
O 16.00 O.upf
ATOMIC_POSITIONS angstrom
Ac 1.182 1.182 0.976
Ac 3.547 3.547 8.219
Nd 1.182 3.547 4.597
Nd 3.547 1.182 4.597
Pt 1.182 1.182 6.266
Pt 3.547 3.547 2.928
O 1.182 3.547 0.000
O 3.547 1.182 0.000
CELL_PARAMETERS angstrom
4.729 0.000 0.000
0.000 4.729 0.000
0.000 0.000 9.194
! Uncorrected formation energy: -1779 meV per atom

Entry 18:
! CuSn2Os2 PBE optimized geometry; values from VASP
&SYSTEM
  ibrav = 0, nat = 10, ntyp = 3
/
ATOMIC_SPECIES
Cu 63.55 Cu.upf
Sn 118.71 Sn.upf
Os 190.23 Os.upf
ATOMIC_POSITIONS angstrom
Cu 0.000 0.000 0.000
Cu 3.692 3.692 0.000
Sn 1.173 2.519 1.628
Sn 2.519 6.211 1.628
Sn 4.865 1.173 1.628
Sn 6.211 4.865 1.628
Os 1.041 4.733 0.000
Os 2.651 1.041 0.000
Os 4.733 6.342 0.000
Os 6.342 2.651 0.000
CELL_PARAMETERS angstrom
7.384 0.000 0.000
0.000 7.384 0.000
0.000 0.000 3.255
! Energy of formation: 0.437 eV/atom

Entry 19:
! LaY PBE optimized geometry; values from VASP
&SYSTEM
  ibrav = 0, nat = 4, ntyp = 2
/
ATOMIC_SPECIES
La 138.91 La.upf
Y 88.91 Y.upf
ATOMIC_POSITIONS angstrom
La 0.924 1.480 0.505
La 2.771 4.439 5.834
Y 0.924 4.439 2.640
Y 2.771 1.480 3.698
CELL_PARAMETERS angstrom
3.694 0.000 0.000
0.000 5.919 0.000
0.000 0.000 6.339
! Energy of formation: 0.022 eV/atom
! Offset from the most stable computed form: 18 meV/atom